Here is a relaxed Zr2InP crystal from Alexandria. Energies are from PBEsol.

a b c (Å): 3.1050 3.3623 7.4986
angles (deg): 90.00 96.51 90.00
Fractional positions:
In 0.5000 0.5000 0.0000
P 0.5000 0.5000 0.5000
Zr 0.9190 0.0000 0.7081
Zr 0.0810 0.0000 0.2919

Summary:
The crystal system is monoclinic. As for the excess energy over the best structure of this formula in the dataset: 191 meV/atom. As for the energy of formation from the pure elements: -0.718 eV per atom. As for the space-group type: P2/m.



Here is a relaxed Ti2NbPt crystal from Alexandria. Energies are from PBEsol.

a b c (Å): 4.4438 4.4438 4.4438
angles (deg): 60.00 60.00 60.00
Fractional positions:
Ti 0.2500 0.2500 0.2500
Ti 0.7500 0.7500 0.7500
Pt 0.5000 0.5000 0.5000
Nb 0.0000 0.0000 0.0000

Summary:
The crystal system is cubic. As for the energy of formation from the pure elements: -0.554 eV per atom. As for the space-group type: Fm-3m.



Here is a relaxed Sr3WO6 crystal from Alexandria. Energies are from PBEsol.

a b c (Å): 5.7955 6.0600 8.3204
angles (deg): 90.00 90.00 90.00
Fractional positions:
O 0.6050 0.9512 0.2820
O 0.3335 0.2637 0.4332
O 0.7289 0.6738 0.9544
O 0.7711 0.1738 0.5456
O 0.1050 0.5488 0.7820
O 0.2711 0.3262 0.0456
O 0.1665 0.7637 0.0668
O 0.3950 0.0488 0.7180
O 0.8335 0.2363 0.9332
O 0.8950 0.4512 0.2180
O 0.2289 0.8262 0.4544
O 0.6665 0.7363 0.5668
Sr 0.0000 0.5000 0.5000
Sr 0.0151 0.0529 0.2553
Sr 0.5151 0.4471 0.7553
Sr 0.4849 0.5529 0.2447
Sr 0.9849 0.9471 0.7447
Sr 0.5000 0.0000 0.0000
W 0.5000 0.0000 0.5000
W 0.0000 0.5000 0.0000

Summary:
The crystal system is monoclinic. The calculation puts the raw formation energy at -2.77 eV per atom. As for the space-group type: P2_1/c.



Here is a relaxed NdLuTl2 crystal from Alexandria. Energies are from PBEsol.

a b c (Å): 5.3012 5.3012 5.3012
angles (deg): 60.00 60.00 60.00
Fractional positions:
Nd 0.0000 0.0000 0.0000
Tl 0.2500 0.2500 0.2500
Tl 0.7500 0.7500 0.7500
Lu 0.5000 0.5000 0.5000

Summary:
The crystal system is cubic. As for the energy of formation from the pure elements: -0.393 eV per atom. As for the space-group type: Fm-3m.